# 1
The following is a DFT calculation (GGA-PBE) of crystalline Tl2Cr2FeS6 at its relaxed geometry.

Total DFT energy (no corrections) ... -125.130 eV for the cell shown
Energy relative to the elements, uncorrected ... -0.4871 eV per atom
Calculated density ... 5.43 g/cm3

Lattice parameters (Å, degrees): 6.042 10.461 7.667 90.00 106.09 90.00
Space group C2/m (No. 12)
Unique sites:
1 Tl 0.000 0.169 0.000 (multiplicity 4)
2 Cr 0.000 0.330 0.500 (multiplicity 4)
3 Fe 0.000 0.000 0.500 (multiplicity 2)
4 S 0.224 0.162 0.672 (multiplicity 8)
5 S 0.236 0.500 0.670 (multiplicity 4)


# 2
The following is a DFT calculation (GGA-PBE) of crystalline ZrCr2FeS at its relaxed geometry.

Total DFT energy (no corrections) ... -32.962 eV for the cell shown
Energy relative to the elements, uncorrected ... 1.4845 eV per atom
Calculated density ... 4.00 g/cm3

Lattice parameters (Å, degrees): 4.952 4.952 4.793 90.00 90.00 90.00
Space group P4/mmm (No. 123)
Unique sites:
1 Zr 0.000 0.000 0.000 (multiplicity 1)
2 Cr 0.000 0.500 0.000 (multiplicity 2)
3 Fe 0.500 0.500 0.500 (multiplicity 1)
4 S 0.000 0.000 0.500 (multiplicity 1)